(1)
PBE YEr2TlC, relaxed; spin magnetization = 0.00 μB/cell; E_form = -0.490 eV/atom; volume = 116.8 Å³/f.u.
1.0
4.872 0.000 0.000
0.000 4.872 0.000
0.000 0.000 4.922
Y Er Tl C
1 2 1 1
Direct
0.000 0.000 0.000
0.000 0.500 0.500
0.500 0.000 0.500
0.500 0.500 0.000
0.000 0.000 0.500



(2)
PBE MnSiSnIrS, relaxed; spin magnetization = 3.25 μB/cell; E_form (uncorrected) = -0.2446 eV per atom; excess energy over the best structure of this formula in the dataset = 0.1140 eV per atom; volume = 95.8 Å³/f.u.
1.0
3.735 -1.961 0.000
3.735 1.961 0.000
-1.603 0.000 6.543
Mn Si Sn Ir S
1 1 1 1 1
Direct
0.000 0.000 0.000
0.780 0.780 0.679
0.070 0.070 0.415
0.453 0.453 0.660
0.675 0.675 0.007



(3)
PBE CeSm8Bi6, relaxed; spin magnetization = 1.88 μB/cell; E_form = -0.557 eV/atom; volume = 519.8 Å³/f.u.
1.0
4.191 2.420 8.542
-4.191 2.420 8.542
0.000 -4.840 8.542
Ce Sm Bi
1 8 6
Direct
0.000 0.000 0.000
0.123 0.453 0.791
0.209 0.877 0.547
0.333 0.333 0.333
0.453 0.791 0.123
0.547 0.209 0.877
0.667 0.667 0.667
0.791 0.123 0.453
0.877 0.547 0.209
0.067 0.732 0.404
0.268 0.596 0.933
0.404 0.067 0.732
0.596 0.933 0.268
0.732 0.404 0.067
0.933 0.268 0.596



(4)
PBE Mn2Re2Te, relaxed; spin magnetization = 0.00 μB/cell; E_form (uncorrected) = 0.5357 eV per atom; volume = 82.0 Å³/f.u.
1.0
-1.991 1.991 5.174
1.991 -1.991 5.174
1.991 1.991 -5.174
Mn Re Te
2 2 1
Direct
0.117 0.117 0.000
0.883 0.883 0.000
0.250 0.750 0.500
0.750 0.250 0.500
0.500 0.500 0.000



(5)
PBE NaZr2Al2, relaxed; spin magnetization = 0.00 μB/cell; E_form = -0.063 eV/atom; excess energy over the best structure of this formula in the dataset = 0.0000 eV per atom; volume = 107.4 Å³/f.u.
1.0
8.114 0.000 0.000
0.000 8.114 0.000
0.000 0.000 3.262
Na Zr Al
2 4 4
Direct
0.000 0.000 0.000
0.500 0.500 0.000
0.175 0.325 0.500
0.325 0.825 0.500
0.675 0.175 0.500
0.825 0.675 0.500
0.118 0.618 0.000
0.382 0.118 0.000
0.618 0.882 0.000
0.882 0.382 0.000



(6)
PBE NaZrUO6, relaxed; spin magnetization = 2.07 μB/cell; E_form (uncorrected) = -2.6728 eV per atom; volume = 131.6 Å³/f.u.
1.0
5.123 0.000 0.000
0.000 5.123 0.000
0.000 0.000 10.032
Na Zr U O
2 2 2 12
Direct
0.000 0.000 0.000
0.500 0.500 0.500
0.000 0.000 0.669
0.500 0.500 0.169
0.000 0.000 0.335
0.500 0.500 0.835
0.176 0.176 0.498
0.209 0.209 0.194
0.212 0.212 0.815
0.288 0.712 0.315
0.291 0.709 0.694
0.324 0.676 0.998
0.676 0.324 0.998
0.709 0.291 0.694
0.712 0.288 0.315
0.788 0.788 0.815
0.791 0.791 0.194
0.824 0.824 0.498



(7)
PBE Tb2ThPaP4, relaxed; spin magnetization = 0.00 μB/cell; E_form = -1.517 eV/atom; volume = 186.4 Å³/f.u.
1.0
6.974 0.000 0.000
0.000 4.046 0.000
-2.341 0.000 6.606
Tb Th Pa P
2 1 1 4
Direct
0.000 0.000 0.000
0.000 0.500 0.500
0.500 0.000 0.500
0.500 0.500 0.000
0.249 0.500 0.242
0.252 0.000 0.758
0.748 0.000 0.242
0.751 0.500 0.758



(8)
PBE SbAu2I, relaxed; spin magnetization = 0.00 μB/cell; E_form (uncorrected) = 0.1000 eV per atom; excess energy over the best structure of this formula in the dataset = 0.0000 eV per atom; volume = 116.8 Å³/f.u.
1.0
1.946 1.123 8.905
-1.946 1.123 8.905
0.000 -2.247 8.905
Sb Au I
1 2 1
Direct
0.000 0.000 0.000
0.397 0.397 0.397
0.603 0.603 0.603
0.500 0.500 0.500



(9)
PBE Ag3SbH, relaxed; spin magnetization = 1.00 μB/cell; excess energy over the best structure of this formula in the dataset = 0.5087 eV per atom; volume = 150.7 Å³/f.u.
1.0
5.321 0.000 0.000
0.000 5.321 0.000
0.000 0.000 5.321
Ag Sb H
3 1 1
Direct
0.000 0.000 0.500
0.000 0.500 0.000
0.500 0.000 0.000
0.000 0.000 0.000
0.500 0.500 0.500



(10)
PBE ZnTc2Au, relaxed; spin magnetization = 0.01 μB/cell; E_form = 0.300 eV/atom; volume = 61.4 Å³/f.u.
1.0
2.574 -4.289 0.000
2.574 4.289 0.000
0.000 0.000 2.779
Zn Tc Au
1 2 1
Direct
0.000 0.000 0.000
0.000 0.500 0.500
0.500 0.000 0.500
0.500 0.500 0.000



(11)
PBE Y2ReBi4, relaxed; spin magnetization = 0.00 μB/cell; E_form = 0.276 eV/atom; volume = 224.5 Å³/f.u.
1.0
-2.710 2.710 7.640
2.710 -2.710 7.640
2.710 2.710 -7.640
Y Re Bi
2 1 4
Direct
0.118 0.118 0.000
0.882 0.882 0.000
0.500 0.500 0.000
0.000 0.500 0.500
0.318 0.318 0.000
0.500 0.000 0.500
0.682 0.682 0.000



(12)
PBE SnPtS2, relaxed; spin magnetization = 0.00 μB/cell; E_form (uncorrected) = -0.0481 eV per atom; volume = 94.6 Å³/f.u.
1.0
1.923 1.110 7.385
-1.923 1.110 7.385
0.000 -2.221 7.385
Sn Pt S
1 1 2
Direct
0.000 0.000 0.000
0.500 0.500 0.500
0.400 0.400 0.400
0.600 0.600 0.600